# 1
A plane-wave DFT calculation with PBE was carried out for crystalline YTeN2O at its relaxed geometry.

Results
- V (Å³/cell) = 89.2
- symmetry = No. 123
- ΔE_f (raw) (eV/atom) = 0.524
- M_tot (μB per atom) = 0.389

Cell lengths 4.5802, 4.5802, 4.2511 Å; angles 90.00, 90.00, 90.00 degrees
Closest atoms and distances in Å follow each position.
Atoms (fractional coordinates):
Y: 0.0000 0.0000 0.0000  2 O 2.13, 4 N 2.29
Te: 0.5000 0.5000 0.5000  8 N 3.12, 4 O 3.24
N: 0.0000 0.5000 0.0000  2 Y 2.29
N: 0.5000 0.0000 0.0000  2 Y 2.29
O: 0.0000 0.0000 0.5000  2 Y 2.13

# 2
A plane-wave DFT calculation with PBE was carried out for crystalline YTeNO2 at its relaxed geometry.

Results
- V (Å³/cell) = 74.7
- symmetry = No. 123
- ΔE_f (raw) (eV/atom) = -0.772
- M_tot (μB per atom) = 0.000

Cell lengths 4.1592, 4.1592, 4.3163 Å; angles 90.00, 90.00, 90.00 degrees
Closest atoms and distances in Å follow each position.
Atoms (fractional coordinates):
Y: 0.0000 0.0000 0.0000  4 N 2.94, 8 O 3.00
Te: 0.5000 0.5000 0.5000  4 O 2.08, 2 N 2.16
N: 0.5000 0.5000 0.0000  2 Te 2.16
O: 0.0000 0.5000 0.5000  2 Te 2.08
O: 0.5000 0.0000 0.5000  2 Te 2.08

# 3
A plane-wave DFT calculation with PBE was carried out for crystalline YTeN2O at its relaxed geometry.

Results
- V (Å³/cell) = 74.2
- symmetry = No. 123
- ΔE_f (raw) (eV/atom) = 0.897
- M_tot (μB per atom) = 0.000

Cell lengths 4.2474, 4.2474, 4.1106 Å; angles 90.00, 90.00, 90.00 degrees
Closest atoms and distances in Å follow each position.
Atoms (fractional coordinates):
Y: 0.0000 0.0000 0.0000  8 N 2.96, 4 Te 3.00
Te: 0.5000 0.5000 0.0000  2 O 2.06
N: 0.0000 0.5000 0.5000  2 O 2.12
N: 0.5000 0.0000 0.5000  2 O 2.12
O: 0.5000 0.5000 0.5000  2 Te 2.06, 4 N 2.12

# 4
A plane-wave DFT calculation with PBE was carried out for crystalline YTeN2O at its relaxed geometry.

Results
- V (Å³/cell) = 69.0
- symmetry = No. 123
- ΔE_f (raw) (eV/atom) = -0.297
- M_tot (μB per atom) = 0.000

Cell lengths 4.1302, 4.1302, 4.0455 Å; angles 90.00, 90.00, 90.00 degrees
Closest atoms and distances in Å follow each position.
Atoms (fractional coordinates):
Y: 0.0000 0.0000 0.0000  8 N 2.89, 4 O 2.92
Te: 0.5000 0.5000 0.5000  2 O 2.02, 4 N 2.07
N: 0.0000 0.5000 0.5000  2 Te 2.07
N: 0.5000 0.0000 0.5000  2 Te 2.07
O: 0.5000 0.5000 0.0000  2 Te 2.02

Question: Among the records above, which one has the highest ΔE_f (raw)?
Answer: number 3

Question: Look up the ΔE_f (raw) of the first one.
Answer: 0.524 eV/atom

Question: Look up the ΔE_f (raw) of the fourth one.
Answer: -0.297 eV/atom

Question: Among the records above, which one has the highest M_tot?
Answer: number 1